FeNiO2: relaxed, PBE+U.

Values from the calculation:
Energy (eV/cell): -43.50
E above lowest polymorph (meV per atom): 292

Lattice parameters (Å, degrees): 5.6698 6.1155 3.0781 104.55 105.72 65.16
Closest atoms and distances in Å follow each position.
Element x y z (fractional)
1 O 0.4957 0.3093 0.6304  2 Fe 1.93, 1 Ni 1.99
2 O 0.9109 0.7991 0.0814  2 Fe 1.92-1.96, 2 Ni 2.03
3 O 0.9028 0.3681 0.3627  1 Ni 1.97, 3 Fe 2.03-2.06
4 O 0.4507 0.7654 0.3355  1 Ni 1.94, 2 Fe 2.09
5 Ni 0.1629 0.7685 0.6922  4 O 2.03-2.20
6 Ni 0.2649 0.1176 0.4194  3 O 1.94-1.99
7 Fe 0.7095 0.5872 0.8756  5 O 1.96-2.09
8 Fe 0.6961 0.1408 0.1464  4 O 1.92-2.06